# B3P GGA-PBE optimized geometry
# * distance to the lowest polymorph of the same formula: 0.170 eV per atom
# * calculated density: 2.80 g/cm³
# * DOS at the Fermi energy: 0.6 states/eV/f.u.
# * formation enthalpy at 0 K: 0.3027 eV per atom
# * volume: 9.40 Å³ per atom
# * energy: -6.06 eV per atom
data_B3P
_chemical_formula_sum 'B3 P1'
_cell_length_a 2.4628
_cell_length_b 3.1094
_cell_length_c 4.9096
_cell_angle_alpha 90.00
_cell_angle_beta 90.00
_cell_angle_gamma 90.00
_symmetry_space_group_name_H-M 'P m m 2'
_symmetry_Int_Tables_number 25
_symmetry_space_group_name_Hall 'P 2 -2'
loop_
_atom_site_label
_atom_site_fract_x
_atom_site_fract_y
_atom_site_fract_z
B1 0.0000 0.0000 0.0000
B2 0.0000 0.5000 0.1684
B3 0.5000 0.0000 0.7214
P1 0.5000 0.5000 0.4906